Record 1
Y2BeCr | PBE-GGA | relaxed

```
data_Y2BeCr
_chemical_formula_sum 'Y4 Be2 Cr2'
_cell_length_a 4.032
_cell_length_b 4.110
_cell_length_c 10.681
_cell_angle_alpha 90.00
_cell_angle_beta 90.00
_cell_angle_gamma 90.00
_space_group_name_H-M_alt 'A m m 2'
_space_group_IT_number 38
loop_
_space_group_symop_operation_xyz
'x,y,z'
'-x,-y,z'
'-x,y,z'
'x,-y,z'
'x,y+1/2,z+1/2'
'-x,-y+1/2,z+1/2'
'-x,y+1/2,z+1/2'
'x,-y+1/2,z+1/2'
loop_
_atom_site_label
_atom_site_fract_x
_atom_site_fract_y
_atom_site_fract_z
Y1 0.000 0.000 0.000
Y2 0.500 0.000 0.284
Be1 0.000 0.000 0.699
Cr1 0.500 0.000 0.588
```

Results
- size of the total moment (μB per cell) = 4.3
- E (eV/atom) = -6.3462
- V (A^3/atom) = 22.1

***

Record 2
LaDyPt3 | PBE-GGA | relaxed

```
data_LaDyPt3
_chemical_formula_sum 'La4 Dy4 Pt12'
_cell_length_a 3.918
_cell_length_b 27.295
_cell_length_c 4.273
_cell_angle_alpha 90.00
_cell_angle_beta 90.00
_cell_angle_gamma 90.00
_space_group_name_H-M_alt 'C m c m'
_space_group_IT_number 63
_space_group_name_Hall '-C 2c 2'
loop_
_atom_site_label
_atom_site_fract_x
_atom_site_fract_y
_atom_site_fract_z
La1 0.000 0.074 0.250
Dy1 0.000 0.207 0.750
Pt1 0.000 0.312 0.750
Pt2 0.000 0.374 0.250
Pt3 0.000 0.471 0.250
```

Results
- size of the total moment (μB per cell) = 0.0
- E (eV/atom) = -6.6755
- V (A^3/atom) = 22.9

***

Record 3
CaInCoP2 | PBE-GGA | relaxed

```
data_CaInCoP2
_chemical_formula_sum 'Ca1 In1 Co1 P2'
_cell_length_a 5.204
_cell_length_b 5.204
_cell_length_c 5.058
_cell_angle_alpha 90.00
_cell_angle_beta 90.00
_cell_angle_gamma 90.00
_space_group_name_H-M_alt 'P 4/m m m'
_space_group_IT_number 123
_space_group_name_Hall '-P 4 2'
loop_
_atom_site_label
_atom_site_fract_x
_atom_site_fract_y
_atom_site_fract_z
Ca1 0.000 0.000 0.000
In1 0.500 0.500 0.500
Co1 0.000 0.000 0.500
P1 0.000 0.500 0.000
```

Results
- size of the total moment (μB per cell) = 2.3
- E (eV/atom) = -3.3603
- V (A^3/atom) = 27.4

***

Record 4
SrSi2Pt | PBE-GGA | relaxed

```
data_SrSi2Pt
_chemical_formula_sum 'Sr1 Si2 Pt1'
_cell_length_a 4.216
_cell_length_b 4.216
_cell_length_c 4.350
_cell_angle_alpha 90.00
_cell_angle_beta 90.00
_cell_angle_gamma 90.00
_space_group_name_H-M_alt 'P 4/m m m'
_space_group_IT_number 123
_space_group_name_Hall '-P 4 2'
loop_
_atom_site_label
_atom_site_fract_x
_atom_site_fract_y
_atom_site_fract_z
Sr1 0.000 0.000 0.000
Si1 0.000 0.500 0.500
Pt1 0.500 0.500 0.000
```

Results
- size of the total moment (μB per cell) = 0.0
- formation energy (no corrections) (eV per formula unit) = -0.16
- E (eV/atom) = -4.6824
- V (A^3/atom) = 19.3

***

Record 5
Rb2SrPu2O7 | PBE-GGA | relaxed

```
data_Rb2SrPu2O7
_chemical_formula_sum 'Rb4 Sr2 Pu4 O14'
_cell_length_a 4.335
_cell_length_b 4.335
_cell_length_c 22.705
_cell_angle_alpha 90.00
_cell_angle_beta 90.00
_cell_angle_gamma 90.00
_space_group_name_H-M_alt 'I 4/m m m'
_space_group_IT_number 139
_space_group_name_Hall '-I 4 2'
loop_
_atom_site_label
_atom_site_fract_x
_atom_site_fract_y
_atom_site_fract_z
Rb1 0.000 0.000 0.191
Sr1 0.000 0.000 0.000
Pu1 0.000 0.000 0.407
O1 0.000 0.000 0.319
O2 0.000 0.000 0.500
O3 0.000 0.500 0.083
```

Results
- size of the total moment (μB per cell) = 12.0
- formation energy (no corrections) (eV per formula unit) = -31.20
- E (eV/atom) = -8.1820
- V (A^3/atom) = 17.8

***

Record 6
NpSnTe2O | PBE-GGA | relaxed

```
data_NpSnTe2O
_chemical_formula_sum 'Np2 Sn2 Te4 O2'
_cell_length_a 4.121
_cell_length_b 4.121
_cell_length_c 16.038
_cell_angle_alpha 90.00
_cell_angle_beta 90.00
_cell_angle_gamma 90.00
_space_group_name_H-M_alt 'P 4/n m m'
_space_group_IT_number 129
loop_
_space_group_symop_operation_xyz
'x,y,z'
'-x,-y,-z'
'-y+1/2,x,z'
'y+1/2,-x,-z'
'-x+1/2,-y+1/2,z'
'x+1/2,y+1/2,-z'
'y,-x+1/2,z'
'-y,x+1/2,-z'
'x+1/2,-y,-z'
'-x+1/2,y,z'
'-y,-x,-z'
'y,x,z'
'-x,y+1/2,-z'
'x,-y+1/2,z'
'y+1/2,x+1/2,-z'
'-y+1/2,-x+1/2,z'
loop_
_atom_site_label
_atom_site_fract_x
_atom_site_fract_y
_atom_site_fract_z
Np1 0.250 0.250 0.070
Sn1 0.250 0.250 0.644
Te1 0.250 0.250 0.400
Te2 0.250 0.250 0.828
O1 0.250 0.750 0.000
```

Results
- size of the total moment (μB per cell) = 7.3
- formation energy (no corrections) (eV per formula unit) = -6.11
- E (eV/atom) = -6.8584
- V (A^3/atom) = 27.2

***

Record 7
Li2VZn2 | PBE-GGA | relaxed

```
data_Li2VZn2
_chemical_formula_sum 'Li4 V2 Zn4'
_cell_length_a 7.418
_cell_length_b 7.418
_cell_length_c 2.591
_cell_angle_alpha 90.00
_cell_angle_beta 90.00
_cell_angle_gamma 90.00
_space_group_name_H-M_alt 'P 4/m b m'
_space_group_IT_number 127
_space_group_name_Hall '-P 4 2ab'
loop_
_atom_site_label
_atom_site_fract_x
_atom_site_fract_y
_atom_site_fract_z
Li1 0.164 0.336 0.000
V1 0.000 0.000 0.500
Zn1 0.135 0.635 0.500
```

Results
- size of the total moment (μB per cell) = 3.2
- energy above the most stable polymorph in this dataset (meV/atom) = 77
- E (eV/atom) = -2.9054
- V (A^3/atom) = 14.3

***

Record 8
RbNbGa3 | PBE-GGA | relaxed

```
data_RbNbGa3
_chemical_formula_sum 'Rb1 Nb1 Ga3'
_cell_length_a 5.201
_cell_length_b 5.201
_cell_length_c 5.201
_cell_angle_alpha 90.00
_cell_angle_beta 90.00
_cell_angle_gamma 90.00
_space_group_name_H-M_alt 'P m -3 m'
_space_group_IT_number 221
_space_group_name_Hall '-P 4 2 3'
loop_
_atom_site_label
_atom_site_fract_x
_atom_site_fract_y
_atom_site_fract_z
Rb1 0.000 0.000 0.000
Nb1 0.500 0.500 0.500
Ga1 0.000 0.500 0.500
```

Results
- size of the total moment (μB per cell) = 0.0
- energy above the most stable polymorph in this dataset (meV/atom) = 0
- E (eV/atom) = -3.8560
- V (A^3/atom) = 28.1

***

Record 9
MgTlCu3 | PBE-GGA | relaxed

```
data_MgTlCu3
_chemical_formula_sum 'Mg1 Tl1 Cu3'
_cell_length_a 4.748
_cell_length_b 4.748
_cell_length_c 4.748
_cell_angle_alpha 90.00
_cell_angle_beta 90.00
_cell_angle_gamma 90.00
_space_group_name_H-M_alt 'P m -3 m'
_space_group_IT_number 221
_space_group_name_Hall '-P 4 2 3'
loop_
_atom_site_label
_atom_site_fract_x
_atom_site_fract_y
_atom_site_fract_z
Mg1 0.000 0.000 0.000
Tl1 0.500 0.500 0.500
Cu1 0.000 0.000 0.500
```

Results
- size of the total moment (μB per cell) = 0.0
- energy above the most stable polymorph in this dataset (meV/atom) = 0
- E (eV/atom) = -2.4773
- V (A^3/atom) = 21.4

***

Record 10
CuNi6Rh | PBE-GGA | relaxed

```
data_CuNi6Rh
_chemical_formula_sum 'Cu4 Ni24 Rh4'
_cell_length_a 5.090
_cell_length_b 7.140
_cell_length_c 10.142
_cell_angle_alpha 90.00
_cell_angle_beta 90.00
_cell_angle_gamma 90.00
_space_group_name_H-M_alt 'F m m m'
_space_group_IT_number 69
_space_group_name_Hall '-F 2 2'
loop_
_atom_site_label
_atom_site_fract_x
_atom_site_fract_y
_atom_site_fract_z
Cu1 0.000 0.000 0.000
Ni1 0.000 0.000 0.249
Ni2 0.250 0.250 0.129
Rh1 0.000 0.000 0.500
```

Results
- size of the total moment (μB per cell) = 18.6
- energy above the most stable polymorph in this dataset (meV/atom) = 3
- E (eV/atom) = -5.7363
- V (A^3/atom) = 11.5

***

Record 11
Dy12Er6Mg | PBE-GGA | relaxed

```
data_Dy12Er6Mg
_chemical_formula_sum 'Dy36 Er18 Mg3'
_cell_length_a 12.8341
_cell_length_b 12.8341
_cell_length_c 12.7657
_cell_angle_alpha 90.00
_cell_angle_beta 90.00
_cell_angle_gamma 120.00
_space_group_name_H-M_alt 'R -3 m'
_space_group_IT_number 166
_space_group_name_Hall '-R 3 2"'
loop_
_atom_site_label
_atom_site_fract_x
_atom_site_fract_y
_atom_site_fract_z
Dy1 0.0000 0.2616 0.0000
Dy2 0.0535 0.5268 0.1137
Er1 0.0905 0.1809 0.7726
Mg1 0.0000 0.0000 0.0000
```

Results
- size of the total moment (μB per cell) = 0.0
- energy above the most stable polymorph in this dataset (meV/atom) = 5
- E (eV/atom) = -4.2888
- V (A^3/atom) = 31.9

***

Record 12
Be2Cl | PBE-GGA | relaxed

```
data_Be2Cl
_chemical_formula_sum 'Be4 Cl2'
_cell_length_a 3.673
_cell_length_b 3.674
_cell_length_c 8.649
_cell_angle_alpha 91.29
_cell_angle_beta 100.79
_cell_angle_gamma 119.72
_space_group_name_H-M_alt 'P 1'
_space_group_IT_number 1
loop_
_space_group_symop_operation_xyz
'x,y,z'
loop_
_atom_site_label
_atom_site_fract_x
_atom_site_fract_y
_atom_site_fract_z
Be1 0.000 0.000 0.000
Be2 0.128 0.090 0.221
Be3 0.444 0.751 0.142
Be4 0.739 0.394 0.079
Cl1 0.751 0.523 0.829
Cl2 0.817 0.007 0.391
```

Results
- size of the total moment (μB per cell) = 0.0
- energy above the most stable polymorph in this dataset (meV/atom) = 37
- formation energy (no corrections) (eV per formula unit) = -0.89
- E (eV/atom) = -3.3948
- V (A^3/atom) = 16.4

***

Record 13
Zn6SnAu12 | PBE-GGA | relaxed

```
data_Zn6SnAu12
_chemical_formula_sum 'Zn18 Sn3 Au36'
_cell_length_a 12.6871
_cell_length_b 12.6871
_cell_length_c 7.1132
_cell_angle_alpha 90.00
_cell_angle_beta 90.00
_cell_angle_gamma 120.00
_space_group_name_H-M_alt 'R -3'
_space_group_IT_number 148
_space_group_name_Hall '-R 3'
loop_
_atom_site_label
_atom_site_fract_x
_atom_site_fract_y
_atom_site_fract_z
Zn1 0.0258 0.2771 0.3271
Sn1 0.0000 0.0000 0.0000
Au1 0.0064 0.8638 0.3424
Au2 0.0590 0.5542 0.6742
```

Results
- size of the total moment (μB per cell) = 0.0
- energy above the most stable polymorph in this dataset (meV/atom) = 0
- E (eV/atom) = -2.8230
- V (A^3/atom) = 17.4

***

Record 14
TmAl2Au8 | PBE-GGA | relaxed

```
data_TmAl2Au8
_chemical_formula_sum 'Tm2 Al4 Au16'
_cell_length_a 15.030
_cell_length_b 4.096
_cell_length_c 6.807
_cell_angle_alpha 90.00
_cell_angle_beta 108.42
_cell_angle_gamma 90.00
_space_group_name_H-M_alt 'C 1 2/m 1'
_space_group_IT_number 12
loop_
_space_group_symop_operation_xyz
'x,y,z'
'-x,-y,-z'
'-x,y,-z'
'x,-y,z'
'x+1/2,y+1/2,z'
'-x+1/2,-y+1/2,-z'
'-x+1/2,y+1/2,-z'
'x+1/2,-y+1/2,z'
loop_
_atom_site_label
_atom_site_fract_x
_atom_site_fract_y
_atom_site_fract_z
Tm1 0.000 0.000 0.000
Al1 0.220 0.500 0.661
Au1 0.042 0.500 0.724
Au2 0.110 0.000 0.471
Au3 0.152 0.500 0.221
Au4 0.180 0.000 0.921
```

Results
- size of the total moment (μB per cell) = 0.0
- energy above the most stable polymorph in this dataset (meV/atom) = 0
- E (eV/atom) = -3.8726
- V (A^3/atom) = 18.1

***

Record 15
Er2SO | PBE-GGA | relaxed

```
data_Er2SO
_chemical_formula_sum 'Er6 S3 O3'
_cell_length_a 3.5116
_cell_length_b 3.5116
_cell_length_c 19.4648
_cell_angle_alpha 90.00
_cell_angle_beta 90.00
_cell_angle_gamma 120.00
_space_group_name_H-M_alt 'R 3 m'
_space_group_IT_number 160
_space_group_name_Hall 'R 3 -2"'
loop_
_atom_site_label
_atom_site_fract_x
_atom_site_fract_y
_atom_site_fract_z
Er1 0.0000 0.0000 0.0000
Er2 0.0000 0.0000 0.1607
S1 0.0000 0.0000 0.5796
O1 0.0000 0.0000 0.7537
```

Results
- size of the total moment (μB per cell) = 0.0
- formation energy (no corrections) (eV per formula unit) = -8.47
- E (eV/atom) = -6.6699
- V (A^3/atom) = 17.3

***

Record 16
BaBe4Rh | PBE-GGA | relaxed

```
data_BaBe4Rh
_chemical_formula_sum 'Ba4 Be16 Rh4'
_cell_length_a 6.998
_cell_length_b 6.998
_cell_length_c 6.998
_cell_angle_alpha 90.00
_cell_angle_beta 90.00
_cell_angle_gamma 90.00
_space_group_name_H-M_alt 'F -4 3 m'
_space_group_IT_number 216
_space_group_name_Hall 'F -4 2 3'
loop_
_atom_site_label
_atom_site_fract_x
_atom_site_fract_y
_atom_site_fract_z
Ba1 0.000 0.000 0.000
Be1 0.117 0.117 0.617
Rh1 0.250 0.250 0.250
```

Results
- size of the total moment (μB per cell) = 0.0
- E (eV/atom) = -3.6130
- V (A^3/atom) = 14.3

***

Record 17
Pr10Dy4Pu | PBE-GGA | relaxed

```
data_Pr10Dy4Pu
_chemical_formula_sum 'Pr20 Dy8 Pu2'
_cell_length_a 9.952
_cell_length_b 9.952
_cell_length_c 10.661
_cell_angle_alpha 90.00
_cell_angle_beta 90.00
_cell_angle_gamma 90.00
_space_group_name_H-M_alt 'I 4/m'
_space_group_IT_number 87
_space_group_name_Hall '-I 4'
loop_
_atom_site_label
_atom_site_fract_x
_atom_site_fract_y
_atom_site_fract_z
Pr1 0.000 0.500 0.250
Pr2 0.116 0.211 0.158
Dy1 0.057 0.325 0.500
Pu1 0.000 0.000 0.500
```

Results
- size of the total moment (μB per cell) = 11.4
- E (eV/atom) = -5.0279
- V (A^3/atom) = 35.2

***

Record 18
BaLiRe2 | PBE-GGA | relaxed

```
data_BaLiRe2
_chemical_formula_sum 'Ba2 Li2 Re4'
_cell_length_a 5.329
_cell_length_b 11.057
_cell_length_c 3.088
_cell_angle_alpha 90.00
_cell_angle_beta 122.25
_cell_angle_gamma 90.00
_space_group_name_H-M_alt 'C 1 2/m 1'
_space_group_IT_number 12
loop_
_space_group_symop_operation_xyz
'x,y,z'
'-x,-y,-z'
'-x,y,-z'
'x,-y,z'
'x+1/2,y+1/2,z'
'-x+1/2,-y+1/2,-z'
'-x+1/2,y+1/2,-z'
'x+1/2,-y+1/2,z'
loop_
_atom_site_label
_atom_site_fract_x
_atom_site_fract_y
_atom_site_fract_z
Ba1 0.000 0.000 0.000
Li1 0.000 0.500 0.000
Re1 0.250 0.250 0.500
```

Results
- size of the total moment (μB per cell) = 0.0
- energy above the most stable polymorph in this dataset (meV/atom) = 530
- E (eV/atom) = -6.1428
- V (A^3/atom) = 19.2

***

Record 19
ZnTeAu2 | PBE-GGA | relaxed

```
data_ZnTeAu2
_chemical_formula_sum 'Zn3 Te3 Au6'
_cell_length_a 4.0670
_cell_length_b 4.0670
_cell_length_c 18.2985
_cell_angle_alpha 90.00
_cell_angle_beta 90.00
_cell_angle_gamma 120.00
_space_group_name_H-M_alt 'R 3 m'
_space_group_IT_number 160
_space_group_name_Hall 'R 3 -2"'
loop_
_atom_site_label
_atom_site_fract_x
_atom_site_fract_y
_atom_site_fract_z
Zn1 0.0000 0.0000 0.0000
Te1 0.0000 0.0000 0.2407
Au1 0.0000 0.0000 0.4827
Au2 0.0000 0.0000 0.7330
```

Results
- size of the total moment (μB per cell) = 0.0
- energy above the most stable polymorph in this dataset (meV/atom) = 93
- formation energy (no corrections) (eV per formula unit) = 0.07
- E (eV/atom) = -2.7257
- V (A^3/atom) = 21.8

***

Record 20
LiNbTe | PBE-GGA | relaxed

```
data_LiNbTe
_chemical_formula_sum 'Li2 Nb2 Te2'
_cell_length_a 4.150
_cell_length_b 4.150
_cell_length_c 7.228
_cell_angle_alpha 90.00
_cell_angle_beta 90.00
_cell_angle_gamma 90.00
_space_group_name_H-M_alt 'P 4/n m m'
_space_group_IT_number 129
loop_
_space_group_symop_operation_xyz
'x,y,z'
'-x,-y,-z'
'-y+1/2,x,z'
'y+1/2,-x,-z'
'-x+1/2,-y+1/2,z'
'x+1/2,y+1/2,-z'
'y,-x+1/2,z'
'-y,x+1/2,-z'
'x+1/2,-y,-z'
'-x+1/2,y,z'
'-y,-x,-z'
'y,x,z'
'-x,y+1/2,-z'
'x,-y+1/2,z'
'y+1/2,x+1/2,-z'
'-y+1/2,-x+1/2,z'
loop_
_atom_site_label
_atom_site_fract_x
_atom_site_fract_y
_atom_site_fract_z
Li1 0.250 0.250 0.179
Nb1 0.250 0.750 0.500
Te1 0.250 0.250 0.777
```

Results
- size of the total moment (μB per cell) = 0.3
- formation energy (no corrections) (eV per formula unit) = -1.37
- E (eV/atom) = -5.4979
- V (A^3/atom) = 20.8